Arrangement 1

# TbHfSc4

TbHfSc4 after structural relaxation (PBE, Alexandria via LeMat-Bulk).

Geometry as POSCAR:
```
TbHfSc4
1.0
4.1422 -6.6309 0.0000
4.1422 6.6309 0.0000
-2.0084 0.0000 5.6255
Tb Hf Sc
2 2 8
Cartesian
2.6359 5.4831 4.2191
3.6401 -5.4831 1.4064
3.6401 0.0344 1.4064
2.6359 -0.0344 4.2191
0.0171 1.6936 4.9208
2.4296 2.5111 2.6161
1.0214 -1.6936 2.1081
4.8506 2.5111 0.1966
1.4254 -2.5111 5.4288
5.2547 1.6936 3.5174
3.8464 -2.5111 3.0094
6.2589 -1.6936 0.7046
```

Calculated values
Size of the total moment = 0.00 μB/f.u.
Calculated volume = 25.75 Å³/atom
Space-group type = C2/c, No. 15

---

Arrangement 2

# TbHfSc4

TbHfSc4 after structural relaxation (PBE, Alexandria via LeMat-Bulk).

Geometry as POSCAR:
```
TbHfSc4
1.0
5.1838 0.0000 0.0000
0.0000 1.6584 8.7625
0.0000 -1.6584 8.7625
Tb Hf Sc
1 1 4
Cartesian
0.0000 0.0000 0.0000
2.5919 0.0000 13.6228
0.0000 0.0000 5.7646
0.0000 0.0000 11.7685
2.5919 0.0000 2.0677
2.5919 0.0000 7.6161
```

Calculated values
Size of the total moment = 0.00 μB/f.u.
Calculated volume = 25.11 Å³/atom
Space-group type = Amm2, No. 38

---

Which of them is most stable? Easy: arrangement 2.

---

Arrangement 1

# Tb2HfSc4

Tb2HfSc4 after structural relaxation (PBE, Alexandria via LeMat-Bulk).

Geometry as POSCAR:
```
Tb2HfSc4
1.0
1.6801 0.9700 18.6036
-1.6801 0.9700 18.6036
0.0000 -1.9400 18.6036
Tb Hf Sc
2 1 4
Cartesian
0.0000 0.0000 0.0000
0.0000 0.0000 5.5031
0.0000 0.0000 10.7856
0.0000 0.0000 15.8381
0.0000 0.0000 21.3772
0.0000 0.0000 45.5489
0.0000 0.0000 50.4619
```

Calculated values
Size of the total moment = 0.40 μB/f.u.
Calculated volume = 25.99 Å³/atom
Space-group type = R3m, No. 160

---

Arrangement 2

# Tb2HfSc4

Tb2HfSc4 after structural relaxation (PBE, Alexandria via LeMat-Bulk).

Geometry as POSCAR:
```
Tb2HfSc4
1.0
-2.5332 2.5332 8.1626
2.5332 -2.5332 8.1626
2.5332 2.5332 -8.1626
Tb Hf Sc
2 1 4
Cartesian
0.0000 0.0000 2.0909
0.0000 0.0000 14.2344
0.0000 0.0000 8.1626
2.5332 0.0000 0.0000
0.0000 0.0000 5.3447
0.0000 2.5332 0.0000
0.0000 0.0000 10.9806
```

Calculated values
Size of the total moment = 0.00 μB/f.u.
Calculated volume = 29.93 Å³/atom
Space-group type = I4/mmm, No. 139

---

Which of them is most stable? Easy: arrangement 1.

---

Arrangement 1

# Hf2ScTc

Hf2ScTc after structural relaxation (PBE, Alexandria via LeMat-Bulk).

Geometry as POSCAR:
```
Hf2ScTc
1.0
1.6057 0.9270 9.3533
-1.6057 0.9270 9.3533
0.0000 -1.8541 9.3533
Hf Sc Tc
2 1 1
Cartesian
0.0000 0.0000 6.6738
0.0000 0.0000 21.3860
0.0000 0.0000 0.0000
0.0000 0.0000 14.0299
```

Calculated values
Size of the total moment = 0.00 μB/f.u.
Calculated volume = 20.88 Å³/atom
Space-group type = R-3m, No. 166

---

Arrangement 2

# Hf2ScTc

Hf2ScTc after structural relaxation (PBE, Alexandria via LeMat-Bulk).

Geometry as POSCAR:
```
Hf2ScTc
1.0
-1.6795 2.4717 4.8919
1.6795 -2.4717 4.8919
1.6795 2.4717 -4.8919
Hf Sc Tc
2 1 1
Cartesian
0.0000 0.0000 2.0588
0.0000 0.0000 7.7249
0.0000 2.4717 0.0000
1.6795 0.0000 0.0000
```

Calculated values
Size of the total moment = 0.00 μB/f.u.
Calculated volume = 20.31 Å³/atom
Space-group type = Immm, No. 71

---

Which of them is most stable? Easy: arrangement 2.

---

Arrangement 1

# Hf2ScTc

Hf2ScTc after structural relaxation (PBE, Alexandria via LeMat-Bulk).

Geometry as POSCAR:
```
Hf2ScTc
1.0
-3.8666 3.8666 2.9143
3.8666 -3.8666 2.9143
3.8666 3.8666 -2.9143
Hf Sc Tc
4 2 2
Cartesian
5.7999 1.5239 -0.7286
1.5239 1.9333 0.7286
-1.9333 2.3427 2.1857
2.3427 1.9333 3.6429
3.8666 0.0000 1.4572
0.0000 0.0000 2.9143
0.0000 0.0000 0.0000
0.0000 3.8666 1.4572
```

Calculated values
Size of the total moment = 0.00 μB/f.u.
Calculated volume = 21.79 Å³/atom
Space-group type = I-42d, No. 122

---

Arrangement 2

# Hf2ScTc

Hf2ScTc after structural relaxation (PBE, Alexandria via LeMat-Bulk).

Geometry as POSCAR:
```
Hf2ScTc
1.0
3.3082 0.0000 0.0000
0.0000 3.3082 0.0000
0.0000 0.0000 7.4645
Hf Sc Tc
2 1 1
Cartesian
0.0000 0.0000 1.5500
0.0000 0.0000 5.9145
1.6541 1.6541 3.7322
1.6541 1.6541 0.0000
```

Calculated values
Size of the total moment = 0.22 μB/f.u.
Calculated volume = 20.42 Å³/atom
Space-group type = P4/mmm, No. 123

---

Which of them is most stable? Easy: arrangement 2.

---

Arrangement 1

# Hf2ScTc

Hf2ScTc after structural relaxation (PBE, Alexandria via LeMat-Bulk).

Geometry as POSCAR:
```
Hf2ScTc
1.0
0.0000 3.3861 3.3861
3.3861 0.0000 3.3861
3.3861 3.3861 0.0000
Hf Sc Tc
2 1 1
Cartesian
1.6931 1.6931 1.6931
5.0792 5.0792 5.0792
0.0000 0.0000 0.0000
3.3861 3.3861 3.3861
```

Calculated values
Size of the total moment = 0.00 μB/f.u.
Calculated volume = 19.41 Å³/atom
Space-group type = Fm-3m, No. 225

---

Arrangement 2

# Hf2ScTc

Hf2ScTc after structural relaxation (PBE, Alexandria via LeMat-Bulk).

Geometry as POSCAR:
```
Hf2ScTc
1.0
4.7471 0.0000 0.0000
0.0000 4.7471 0.0000
0.0000 0.0000 3.4499
Hf Sc Tc
2 1 1
Cartesian
0.0000 2.3735 0.0000
2.3735 0.0000 0.0000
0.0000 0.0000 1.7249
2.3735 2.3735 1.7249
```

Calculated values
Size of the total moment = 0.00 μB/f.u.
Calculated volume = 19.44 Å³/atom
Space-group type = P4/mmm, No. 123

---

Which of them is most stable? Easy: arrangement 1.

---

Arrangement 1

# HfScTc

HfScTc after structural relaxation (PBE, Alexandria via LeMat-Bulk).

Geometry as POSCAR:
```
HfScTc
1.0
5.0832 -2.3346 0.0000
5.0832 2.3346 0.0000
-3.1265 0.0000 4.7826
Hf Sc Tc
2 2 2
Cartesian
1.5069 0.0000 0.4961
5.5331 0.0000 4.2865
2.5058 0.0000 3.4341
4.5341 0.0000 1.3485
-0.2812 0.0000 2.7976
7.3211 0.0000 1.9850
```

Calculated values
Size of the total moment = 0.00 μB/f.u.
Calculated volume = 18.92 Å³/atom
Space-group type = C2/m, No. 12

---

Arrangement 2

# HfScTc

HfScTc after structural relaxation (PBE, Alexandria via LeMat-Bulk).

Geometry as POSCAR:
```
HfScTc
1.0
5.0707 -2.3187 0.0000
5.0707 2.3187 0.0000
-3.1940 0.0000 4.9269
Hf Sc Tc
2 2 2
Cartesian
-0.4891 0.0000 1.4252
7.4365 0.0000 3.5017
0.3769 0.0000 4.4524
6.5705 0.0000 0.4745
2.2265 0.0000 2.1084
4.7209 0.0000 2.8185
```

Calculated values
Size of the total moment = 0.00 μB/f.u.
Calculated volume = 19.31 Å³/atom
Space-group type = C2/m, No. 12

---

Arrangement 3

# HfScTc

HfScTc after structural relaxation (PBE, Alexandria via LeMat-Bulk).

Geometry as POSCAR:
```
HfScTc
1.0
-2.2333 2.2333 6.5714
2.2333 -2.2333 6.5714
2.2333 2.2333 -6.5714
Hf Sc Tc
2 2 2
Cartesian
2.2333 0.0000 0.0000
0.0000 2.2333 0.0000
2.2333 0.0000 3.2857
0.0000 2.2333 3.2857
0.0000 0.0000 1.5589
0.0000 0.0000 11.5838
```

Calculated values
Size of the total moment = 0.00 μB/f.u.
Calculated volume = 21.85 Å³/atom
Space-group type = I4/mmm, No. 139

---

Arrangement 4

# HfScTc

HfScTc after structural relaxation (PBE, Alexandria via LeMat-Bulk).

Geometry as POSCAR:
```
HfScTc
1.0
-1.6579 1.6579 5.4309
1.6579 -1.6579 5.4309
1.6579 1.6579 -5.4309
Hf Sc Tc
1 1 1
Cartesian
0.0000 0.0000 0.0000
0.0000 0.0000 7.8341
0.0000 0.0000 4.0229
```

Calculated values
Size of the total moment = 0.00 μB/f.u.
Calculated volume = 19.90 Å³/atom
Space-group type = I4mm, No. 107

---

Which of them is most stable? Easy: arrangement 4.

---

Arrangement 1

# HfScTc

HfScTc after structural relaxation (PBE, Alexandria via LeMat-Bulk).

Geometry as POSCAR:
```
HfScTc
1.0
6.6168 0.0000 0.0000
0.0000 3.3061 0.0000
0.0000 0.0000 10.8575
Hf Sc Tc
4 4 4
Cartesian
0.7877 0.8265 1.2431
2.5207 2.4796 6.6719
4.0960 0.8265 4.1856
5.8291 2.4796 9.6143
0.8466 0.8265 4.2672
2.4618 2.4796 9.6960
4.1550 0.8265 1.1615
5.7702 2.4796 6.5902
0.8421 0.8265 8.1131
2.4663 2.4796 2.6843
4.1505 0.8265 8.1731
5.7747 2.4796 2.7444
```

Calculated values
Size of the total moment = 0.00 μB/f.u.
Calculated volume = 19.79 Å³/atom
Space-group type = Pnma, No. 62

---

Arrangement 2

# HfScTc

HfScTc after structural relaxation (PBE, Alexandria via LeMat-Bulk).

Geometry as POSCAR:
```
HfScTc
1.0
5.0719 -2.3227 0.0000
5.0719 2.3227 0.0000
-3.1877 0.0000 4.8713
Hf Sc Tc
2 2 2
Cartesian
0.0000 0.0000 0.0000
3.9143 0.0000 3.9769
2.9972 0.0000 0.9901
6.0408 0.0000 1.8807
-1.3058 0.0000 2.5874
1.1963 0.0000 3.3749
```

Calculated values
Size of the total moment = 0.00 μB/f.u.
Calculated volume = 19.13 Å³/atom
Space-group type = Cm, No. 8

---

Arrangement 3

# HfScTc

HfScTc after structural relaxation (PBE, Alexandria via LeMat-Bulk).

Geometry as POSCAR:
```
HfScTc
1.0
3.0024 1.7334 6.2157
-3.0024 1.7334 6.2157
0.0000 -3.4668 6.2157
Hf Sc Tc
3 3 3
Cartesian
-1.0731 -1.5862 6.2157
-0.8372 1.7224 6.2156
1.9102 -0.1362 6.2156
-2.4196 0.0211 9.2160
1.1915 -2.1060 9.2160
1.2281 2.0849 9.2160
0.0000 0.0000 7.9831
0.0000 0.0000 10.6603
0.0000 0.0000 17.2246
```

Calculated values
Size of the total moment = 0.00 μB/f.u.
Calculated volume = 21.57 Å³/atom
Space-group type = R3, No. 146

---

Which of them is most stable? Easy: arrangement 1.

---

Arrangement 1

# HfSc2Tc

HfSc2Tc after structural relaxation (PBE, Alexandria via LeMat-Bulk).

Geometry as POSCAR:
```
HfSc2Tc
1.0
1.5568 0.8988 10.0733
-1.5568 0.8988 10.0733
0.0000 -1.7976 10.0733
Hf Sc Tc
1 2 1
Cartesian
0.0000 0.0000 0.0000
0.0000 0.0000 3.0467
0.0000 0.0000 27.1732
0.0000 0.0000 15.1100
```

Calculated values
Size of the total moment = 0.00 μB/f.u.
Calculated volume = 21.14 Å³/atom
Space-group type = R-3m, No. 166

---

Arrangement 2

# HfSc2Tc

HfSc2Tc after structural relaxation (PBE, Alexandria via LeMat-Bulk).

Geometry as POSCAR:
```
HfSc2Tc
1.0
3.2523 0.0000 0.0000
0.0000 3.2523 0.0000
0.0000 0.0000 7.6459
Hf Sc Tc
1 2 1
Cartesian
0.0000 0.0000 0.0000
1.6261 1.6261 2.2781
1.6261 1.6261 5.3678
0.0000 0.0000 3.8230
```

Calculated values
Size of the total moment = 0.00 μB/f.u.
Calculated volume = 20.22 Å³/atom
Space-group type = P4/mmm, No. 123

---

Arrangement 3

# HfSc2Tc

HfSc2Tc after structural relaxation (PBE, Alexandria via LeMat-Bulk).

Geometry as POSCAR:
```
HfSc2Tc
1.0
0.0000 3.3986 3.3986
3.3986 0.0000 3.3986
3.3986 3.3986 0.0000
Hf Sc Tc
1 2 1
Cartesian
0.0000 0.0000 0.0000
1.6993 1.6993 1.6993
5.0979 5.0979 5.0979
3.3986 3.3986 3.3986
```

Calculated values
Size of the total moment = 0.80 μB/f.u.
Calculated volume = 19.63 Å³/atom
Space-group type = Fm-3m, No. 225

---

Arrangement 4

# HfSc2Tc

HfSc2Tc after structural relaxation (PBE, Alexandria via LeMat-Bulk).

Geometry as POSCAR:
```
HfSc2Tc
1.0
4.7135 0.0000 0.0000
0.0000 5.8569 0.0000
0.0000 0.0000 5.7811
Hf Sc Tc
2 4 2
Cartesian
1.1784 1.4642 0.6947
3.5351 4.3927 5.0865
1.1784 0.0349 3.7784
1.1784 2.8935 3.7784
3.5351 2.9633 2.0027
3.5351 5.8220 2.0027
1.1784 4.3927 0.7825
3.5351 1.4642 4.9986
```

Calculated values
Size of the total moment = 0.00 μB/f.u.
Calculated volume = 19.95 Å³/atom
Space-group type = Pmmn, No. 59

---

Which of them is most stable? Easy: arrangement 4.

---

Arrangement 1

# HfSc2Tc

HfSc2Tc after structural relaxation (PBE, Alexandria via LeMat-Bulk).

Geometry as POSCAR:
```
HfSc2Tc
1.0
-3.8943 3.8943 2.8302
3.8943 -3.8943 2.8302
3.8943 3.8943 -2.8302
Hf Sc Tc
2 4 2
Cartesian
0.0000 0.0000 0.0000
0.0000 3.8943 1.4151
1.9471 -1.5170 2.1226
2.3773 1.9471 0.7075
1.9471 5.4113 -0.7075
1.5170 1.9471 3.5377
3.8943 0.0000 1.4151
0.0000 0.0000 2.8302
```

Calculated values
Size of the total moment = 0.00 μB/f.u.
Calculated volume = 21.46 Å³/atom
Space-group type = I-42d, No. 122

---

Arrangement 2

# HfSc2Tc

HfSc2Tc after structural relaxation (PBE, Alexandria via LeMat-Bulk).

Geometry as POSCAR:
```
HfSc2Tc
1.0
5.5191 -2.8811 0.0000
5.5191 2.8811 0.0000
-2.7394 0.0000 5.0481
Hf Sc Tc
2 4 2
Cartesian
3.4646 1.8345 3.7861
4.8343 -1.8345 1.2620
0.7784 0.2798 4.1177
2.1481 -0.2798 1.5936
6.1508 0.2798 3.4545
7.5205 -0.2798 0.9304
4.8343 1.0744 1.2620
3.4646 -1.0744 3.7861
```

Calculated values
Size of the total moment = 0.00 μB/f.u.
Calculated volume = 20.07 Å³/atom
Space-group type = C2/c, No. 15

---

Which of them is most stable? Easy: arrangement 2.

---

Arrangement 1

# HfSc3Te

HfSc3Te after structural relaxation (PBE, Alexandria via LeMat-Bulk).

Geometry as POSCAR:
```
HfSc3Te
1.0
5.2446 0.0000 0.0000
0.0000 5.2446 0.0000
0.0000 0.0000 5.2446
Hf Sc Te
1 3 1
Cartesian
0.0000 0.0000 0.0000
0.0000 2.6223 2.6223
2.6223 0.0000 2.6223
2.6223 2.6223 0.0000
2.6223 2.6223 2.6223
```

Calculated values
Size of the total moment = 0.00 μB/f.u.
Calculated volume = 28.85 Å³/atom
Space-group type = Pm-3m, No. 221

---

Arrangement 2

# HfSc3Te

HfSc3Te after structural relaxation (PBE, Alexandria via LeMat-Bulk).

Geometry as POSCAR:
```
HfSc3Te
1.0
5.2200 0.0000 0.0000
0.0000 5.2200 0.0000
0.0000 0.0000 5.2200
Hf Sc Te
1 3 1
Cartesian
0.0000 0.0000 0.0000
0.0000 0.0000 2.6100
0.0000 2.6100 0.0000
2.6100 0.0000 0.0000
2.6100 2.6100 2.6100
```

Calculated values
Size of the total moment = 0.00 μB/f.u.
Calculated volume = 28.45 Å³/atom
Space-group type = Pm-3m, No. 221

---

Which of them is most stable? Easy: arrangement 1.